(1)
Entry from Alexandria: an optimized crystal structure of HoTl2As2Pd7 (GGA-PBE).

Unit cell a=4.0512 b=4.0512 c=14.6391 alpha=94.73 beta=94.73 gamma=89.84
Element x y z (fractional)
Ho 0.0000 0.0000 0.0000
Tl 0.1026 0.1026 0.3999
Tl 0.8974 0.8974 0.6001
As 0.4249 0.4249 0.7540
As 0.5751 0.5751 0.2460
Pd 0.0454 0.5446 0.1468
Pd 0.4001 0.4001 0.5850
Pd 0.4554 0.9546 0.8532
Pd 0.5000 0.5000 0.0000
Pd 0.5446 0.0454 0.1468
Pd 0.5999 0.5999 0.4150
Pd 0.9546 0.4554 0.8532

- Total moment: 0.00 μB/atom
- Total energy: -5.03 eV/atom
- Energy of formation: -5.45 eV per formula unit
- Space group: No. 12

(2)
Entry from Alexandria: an optimized crystal structure of AcTb5Dy6 (GGA-PBE).

Unit cell a=6.2085 b=6.2085 c=11.8662 alpha=94.97 beta=94.97 gamma=119.94
Element x y z (fractional)
Ac 0.0000 0.0000 0.0000
Tb 0.1671 0.8329 0.5000
Tb 0.3334 0.6666 0.0000
Tb 0.5000 0.5000 0.5000
Tb 0.6666 0.3334 0.0000
Tb 0.8329 0.1671 0.5000
Dy 0.0846 0.4208 0.2542
Dy 0.2516 0.2516 0.7457
Dy 0.4208 0.0846 0.2542
Dy 0.5792 0.9154 0.7458
Dy 0.7484 0.7484 0.2543
Dy 0.9154 0.5792 0.7458

- Total moment: 0.00 μB/atom
- Total energy: -4.54 eV/atom
- Energy of formation: 0.34 eV per formula unit
- Space group: No. 12

(3)
Entry from Alexandria: an optimized crystal structure of La5HoIn5 (GGA-PBE).

Unit cell a=9.6498 b=9.6498 c=7.1344 alpha=111.60 beta=111.60 gamma=35.70
Element x y z (fractional)
La 0.0000 0.0000 0.0000
La 0.3096 0.3096 0.3088
La 0.3589 0.3589 0.8577
La 0.6411 0.6411 0.1423
La 0.6904 0.6904 0.6912
Ho 0.0000 0.0000 0.5000
In 0.1610 0.1610 0.4422
In 0.1610 0.1610 0.8800
In 0.5000 0.5000 0.5000
In 0.8390 0.8390 0.1200
In 0.8390 0.8390 0.5578

- Total moment: 0.00 μB/atom
- Total energy: -4.18 eV/atom
- Energy of formation: -3.02 eV per formula unit
- Space group: No. 12

(4)
Entry from Alexandria: an optimized crystal structure of Al2Cu5Au5 (GGA-PBE).

Unit cell a=6.2021 b=6.2021 c=8.9968 alpha=115.24 beta=115.24 gamma=35.71
Element x y z (fractional)
Al 0.0831 0.0831 0.2613
Al 0.9169 0.9169 0.7387
Cu 0.3338 0.3338 0.5003
Cu 0.4216 0.4216 0.2585
Cu 0.5000 0.5000 0.0000
Cu 0.5784 0.5784 0.7415
Cu 0.6662 0.6662 0.4997
Au 0.0000 0.0000 0.5000
Au 0.1502 0.1502 0.9787
Au 0.2636 0.2636 0.7440
Au 0.7364 0.7364 0.2560
Au 0.8498 0.8498 0.0213

- Total moment: 0.00 μB/atom
- Total energy: -3.87 eV/atom
- Energy above the most stable polymorph in this dataset: 0.00 eV per formula unit
- Energy of formation: -2.08 eV per formula unit
- Space group: No. 12

(5)
Entry from Alexandria: an optimized crystal structure of MnNiHg2 (GGA-PBE).

Unit cell a=5.5827 b=5.5827 c=5.5827 alpha=147.80 beta=130.88 gamma=59.96
Element x y z (fractional)
Mn 0.0000 0.0000 0.0000
Ni 0.1986 0.6986 0.5000
Hg 0.4390 0.4390 0.0000
Hg 0.7243 0.2243 0.5000

- Total moment: 1.06 μB/atom
- Total energy: -3.62 eV/atom
- Energy above the most stable polymorph in this dataset: 0.05 eV per formula unit
- Energy of formation: 1.08 eV per formula unit
- Space group: No. 44

(6)
Entry from Alexandria: an optimized crystal structure of HoSc2AgN (GGA-PBE).

Unit cell a=4.4217 b=4.4217 c=4.8330 alpha=90.00 beta=90.00 gamma=90.00
Element x y z (fractional)
Ho 0.0000 0.0000 0.0000
Sc 0.0000 0.5000 0.5000
Sc 0.5000 0.0000 0.5000
Ag 0.5000 0.5000 0.0000
N 0.0000 0.0000 0.5000

- Total moment: 0.00 μB/atom
- E_form (uncorrected): -4.27 eV per formula unit
- Total energy: -6.54 eV/atom
- Space group: No. 123